[1]
Below is a relaxed Sr2Pr2S5 crystal, with properties calculated at the PBE level.

## Properties
uncorrected formation energy	-2039	meV/atom
space-group type	Cmce (64)
V	24.81	Å³ per atom

abc: 7.879 7.779 8.259
angles: 118.10 90.00 90.00
Fractional coordinates of all 18 atoms:
S 0.347 0.984 0.290
S 0.153 0.193 0.710
S 0.653 0.016 0.710
S 0.653 0.307 0.290
Sr 0.658 0.845 0.000
Pr 0.000 0.804 0.608
Pr 0.500 0.696 0.392
Sr 0.342 0.155 0.000
S 0.500 0.500 0.000
Pr 0.500 0.304 0.608
S 0.847 0.516 0.710
S 0.347 0.693 0.710
Sr 0.158 0.655 0.000
S 0.847 0.807 0.290
Sr 0.842 0.345 0.000
Pr 0.000 0.196 0.392
S 0.000 0.000 0.000
S 0.153 0.484 0.290

***

[2]
Below is a relaxed SrPr5S8 crystal, with properties calculated at the PBE level.

## Properties
uncorrected formation energy	-2050	meV/atom
space-group type	I-4 (82)
V	23.49	Å³ per atom

abc: 7.531 7.531 7.531
angles: 109.47 109.47 109.47
Fractional coordinates of all 14 atoms:
S 0.971 0.096 0.725
S 0.628 0.904 0.875
Pr 0.873 0.875 0.247
S 0.481 0.603 0.235
Pr 0.753 0.626 0.628
Pr 0.003 0.374 0.127
Pr 0.372 0.125 0.997
Pr 0.500 0.000 0.500
S 0.122 0.753 0.519
S 0.632 0.397 0.878
S 0.765 0.247 0.368
S 0.275 0.247 0.372
Sr 0.250 0.500 0.750
S 0.125 0.753 0.029

***

[3]
Below is a relaxed Sr5PrS6 crystal, with properties calculated at the PBE level.

## Properties
uncorrected formation energy	-2102	meV/atom
space-group type	C2/m (12)
V	27.04	Å³ per atom

abc: 7.354 7.351 7.350
angles: 60.00 80.41 70.53
Fractional coordinates of all 12 atoms:
S 0.246 0.243 0.000
Sr 0.500 0.500 0.000
Sr 0.500 0.832 0.336
S 0.245 0.593 0.326
S 0.245 0.918 0.674
Sr 0.000 0.666 0.667
Sr 0.000 0.334 0.333
Pr 0.000 0.000 0.000
S 0.754 0.757 0.000
Sr 0.500 0.168 0.664
S 0.755 0.407 0.674
S 0.755 0.082 0.326

***

[4]
Below is a relaxed SrPr5S6 crystal, with properties calculated at the PBE level.

## Properties
uncorrected formation energy	-2025	meV/atom
space-group type	C2/m (12)
V	24.85	Å³ per atom

abc: 7.155 7.135 7.149
angles: 60.07 80.44 70.57
Fractional coordinates of all 12 atoms:
Sr 0.000 0.000 0.000
S 0.747 0.084 0.334
S 0.751 0.749 0.000
Pr 0.000 0.333 0.334
Pr 0.500 0.166 0.669
S 0.249 0.251 0.000
Pr 0.500 0.500 0.000
S 0.253 0.916 0.666
Pr 0.000 0.667 0.666
S 0.253 0.581 0.334
Pr 0.500 0.834 0.331
S 0.747 0.419 0.666